(1)
Computed, not measured: Ce3Sn5Au6 after structural relaxation at the PBE level of DFT.

Values from the calculation:
Space-group type: No. 59
ΔH_f (0 K): -556.0 meV/atom
Density of states at the Fermi level: 21.0 states/eV/f.u.

Unit cell a=4.6327 b=10.4003 c=13.6997 alpha=90.00 beta=90.00 gamma=90.00
Sites, in units of the cell vectors:
Ce  0.5000  0.7565  0.5000
Ce  0.0000  0.2435  0.0000
Ce  0.5000  0.7545  0.8176
Ce  0.5000  0.7545  0.1824
Ce  0.0000  0.2455  0.6824
Ce  0.0000  0.2455  0.3176
Sn  0.5000  0.4753  0.6398
Sn  0.5000  0.4753  0.3602
Sn  0.0000  0.5247  0.8602
Sn  0.0000  0.5247  0.1398
Sn  0.5000  0.1244  0.8380
Sn  0.5000  0.1244  0.1620
Sn  0.0000  0.8756  0.6620
Sn  0.0000  0.8756  0.3380
Sn  0.5000  0.2215  0.5000
Sn  0.0000  0.7785  0.0000
Au  0.5000  0.0224  0.6480
Au  0.5000  0.0224  0.3520
Au  0.0000  0.9776  0.8520
Au  0.0000  0.9776  0.1480
Au  0.0000  0.0401  0.5000
Au  0.5000  0.9599  0.0000
Au  0.5000  0.3817  0.8368
Au  0.5000  0.3817  0.1632
Au  0.0000  0.6183  0.6632
Au  0.0000  0.6183  0.3368
Au  0.0000  0.4369  0.5000
Au  0.5000  0.5631  0.0000

(2)
Computed, not measured: GaNi2Pd4 after structural relaxation at the PBE level of DFT.

Values from the calculation:
Space-group type: No. 12
ΔH_f (0 K): -203.6 meV/atom
Density of states at the Fermi level: 9.4 states/eV/f.u.

Unit cell a=3.6799 b=4.7310 c=9.8701 alpha=43.85 beta=90.00 gamma=112.89
Sites, in units of the cell vectors:
Ga  0.0000  0.0000  0.5000
Ni  0.7116  0.4232  0.9357
Ni  0.2884  0.5768  0.0643
Pd  0.8689  0.7378  0.2047
Pd  0.1311  0.2622  0.7953
Pd  0.5544  0.1087  0.6483
Pd  0.4456  0.8913  0.3517

(3)
Computed, not measured: CuSi2Ni after structural relaxation at the PBE level of DFT.

Values from the calculation:
Space-group type: No. 123
Raw formation energy: 0.05 eV per atom
Density of states at the Fermi level: 1.5 states/eV/f.u.

Unit cell a=4.2241 b=4.2241 c=2.7931 alpha=90.00 beta=90.00 gamma=90.00
Sites, in units of the cell vectors:
Cu  0.5000  0.0000  0.5000
Ni  0.0000  0.5000  0.5000
Si  0.0000  0.0000  0.0000
Si  0.5000  0.5000  0.0000

(4)
Computed, not measured: SmZnBi2 after structural relaxation at the PBE level of DFT.

Values from the calculation:
Space-group type: No. 123
Energy relative to the lowest polymorph listed for this composition: 30 meV per atom
ΔH_f (0 K): -330.2 meV/atom
Density of states at the Fermi level: 2.5 states/eV/f.u.

Unit cell a=4.1329 b=4.1329 c=6.5177 alpha=90.00 beta=90.00 gamma=90.00
Sites, in units of the cell vectors:
Zn  0.5000  0.5000  0.5000
Bi  0.0000  0.0000  0.7449
Bi  0.0000  0.0000  0.2551
Sm  0.5000  0.5000  0.0000